First-principles (GGA-PBE) data for a relaxed structure of SnHgSeF2, as listed in Alexandria via LeMat-Bulk.

Summary:
Space-group type ... No. 123
Total moment ... 0.000 μB/atom
Total DFT energy (no corrections) ... -0.132 Ha/atom
Formation energy from raw total energies ... -1.282 eV per atom

Cell: 4.3783 4.3783 5.7233 Å, 90.00 90.00 90.00°
Fractional positions:
Sn: 0.0000 0.0000 0.0000
Hg: 0.5000 0.5000 0.5000
Se: 0.0000 0.0000 0.5000
F: 0.0000 0.5000 0.0000
F: 0.5000 0.0000 0.0000